(1)
A plane-wave DFT calculation with PBE was carried out for a geometry-optimized AgHgSb2 structure.

a b c (Å): 6.824 6.824 6.824
angles (deg): 38.13 38.13 38.13
Fractional coordinates of all 4 atoms:
1 Ag 0.000 0.000 0.000
2 Hg 0.167 0.167 0.167
3 Sb 0.397 0.397 0.397
4 Sb 0.600 0.600 0.600

## Properties
- Crystal system: trigonal
- Fermi-level density of states: 1.582 states/eV per cell

(2)
A plane-wave DFT calculation with PBE was carried out for a geometry-optimized Ag2HgSb structure.

a b c (Å): 3.141 3.141 8.976
angles (deg): 90.00 90.00 90.00
Fractional coordinates of all 4 atoms:
1 Ag 0.000 0.000 0.000
2 Ag 0.500 0.500 0.213
3 Hg 0.000 0.000 0.448
4 Sb 0.500 0.500 0.757

## Properties
- Crystal system: tetragonal
- Fermi-level density of states: 1.481 states/eV per cell

Calculated uncorrected formation energy, 0.16, 0.12 eV per atom (same order as the records).